DFT (GGA-PBE) results for an optimized crystal structure of LaPuZnSb.

Geometry as POSCAR:
```
LaPuZnSb
1.0
7.568 0.000 0.000
0.000 7.568 0.000
0.000 0.000 7.568
La Pu Zn Sb
4 4 4 4
Cartesian
0.000 0.000 0.000 La
0.000 3.784 3.784 La
3.784 0.000 3.784 La
3.784 3.784 0.000 La
0.000 0.000 3.784 Pu
0.000 3.784 0.000 Pu
3.784 0.000 0.000 Pu
3.784 3.784 3.784 Pu
1.892 1.892 1.892 Zn
1.892 5.676 5.676 Zn
5.676 1.892 5.676 Zn
5.676 5.676 1.892 Zn
1.892 1.892 5.676 Sb
1.892 5.676 1.892 Sb
5.676 1.892 1.892 Sb
5.676 5.676 5.676 Sb
```

Properties
* energy relative to the elements, uncorrected: -1.79 eV per formula unit
* space group: F-43m (216)
* VASP energy: -6.611 eV per atom

=====

DFT (GGA-PBE) results for an optimized crystal structure of TbMoRu2.

Geometry as POSCAR:
```
TbMoRu2
1.0
3.130 0.000 0.000
0.000 3.130 0.000
0.000 0.000 7.161
Tb Mo Ru
1 1 2
Cartesian
0.000 0.000 0.000 Tb
0.000 0.000 3.580 Mo
1.565 1.565 2.099 Ru
1.565 1.565 5.062 Ru
```

Properties
* offset from the most stable computed form: 0.0000 eV/atom
* calculated formation energy: -42 meV per atom
* space group: P4/mmm (123)
* VASP energy: -8.545 eV per atom

=====

DFT (GGA-PBE) results for an optimized crystal structure of Li2AgBi.

Geometry as POSCAR:
```
Li2AgBi
1.0
3.353 0.000 0.000
0.000 3.353 0.000
0.000 0.000 7.060
Li Ag Bi
2 1 1
Cartesian
0.000 0.000 1.552 Li
0.000 0.000 5.507 Li
1.676 1.676 0.000 Ag
1.676 1.676 3.530 Bi
```

Properties
* offset from the most stable computed form: 0.0600 eV/atom
* calculated formation energy: -286 meV per atom
* space group: P4/mmm (123)
* VASP energy: -2.926 eV per atom

=====

Question: Look up the VASP energy of the third one.
Answer: -2.926 eV per atom